1.
DFT (PBE-GGA) results for an optimized crystal structure of ZrVAu2S.

```
5
Lattice="5.201 0.000 0.000 0.000 4.727 0.000 0.000 0.000 5.201" Properties=species:S:1:pos:R:3 pbc="T T T"
S 2.600 2.364 2.600
Au 0.000 0.000 2.600
Au 2.600 0.000 0.000
Zr 0.000 0.000 0.000
V 0.000 2.364 0.000
```

Computed properties:
energy: -21.44 eV/cell
total moment: 0.00 μB/f.u.
formation energy (no corrections): 1.3822 eV per atom

=====

2.
DFT (PBE-GGA) results for an optimized crystal structure of ScFe2Os.

```
4
Lattice="8.626 0.015 0.009 8.167 2.775 0.009 8.167 1.357 2.421" Properties=species:S:1:pos:R:3 pbc="T T T"
Sc 18.618 3.093 1.819
Fe 6.336 1.053 0.619
Fe 24.784 4.117 2.421
Os 12.662 2.104 1.237
```

Computed properties:
energy: -33.49 eV/cell
excess energy over the best structure of this formula in the dataset: 0.256 eV/atom
total moment: 3.91 μB/f.u.
formation enthalpy at 0 K: 0.99 eV/f.u.